(1)
Density functional theory data (GGA-PBE) for crystalline Mg2ScSe2 at its relaxed geometry.

The structure in CIF format:
```
data_Mg2ScSe2
_space_group_name_H-M_alt 'P 4/m b m'
_space_group_IT_number 127
_space_group_name_Hall '-P 4 2ab'
_cell_length_a 7.662
_cell_length_b 7.662
_cell_length_c 3.573
_cell_angle_alpha 90.00
_cell_angle_beta 90.00
_cell_angle_gamma 90.00
loop_
_atom_site_label
_atom_site_type_symbol
_atom_site_fract_x
_atom_site_fract_y
_atom_site_fract_z
Mg1 Mg 0.132 0.368 0.000
Sc1 Sc 0.000 0.000 0.000
Se1 Se 0.174 0.674 0.500
```

formation energy without anion corrections = -473 meV/atom
size of the total moment = 2.13 Bohr magnetons per cell



(2)
Density functional theory data (GGA-PBE) for crystalline LiNdCd2 at its relaxed geometry.

The structure in CIF format:
```
data_LiNdCd2
_space_group_name_H-M_alt 'F m -3 m'
_space_group_IT_number 225
_space_group_name_Hall '-F 4 2 3'
_cell_length_a 7.305
_cell_length_b 7.305
_cell_length_c 7.305
_cell_angle_alpha 90.00
_cell_angle_beta 90.00
_cell_angle_gamma 90.00
loop_
_atom_site_label
_atom_site_type_symbol
_atom_site_fract_x
_atom_site_fract_y
_atom_site_fract_z
Li1 Li 0.000 0.000 0.000
Nd1 Nd 0.000 0.000 0.500
Cd1 Cd 0.250 0.250 0.250
```

ΔE_f = -108 kJ/mol of formula units
size of the total moment = 0.00 Bohr magnetons per cell



(3)
Density functional theory data (GGA-PBE) for crystalline LiPrSn2Pd at its relaxed geometry.

The structure in CIF format:
```
data_LiPrSn2Pd
_space_group_name_H-M_alt 'I -4 m 2'
_space_group_IT_number 119
_space_group_name_Hall 'I -4 -2'
_cell_length_a 4.449
_cell_length_b 4.449
_cell_length_c 11.580
_cell_angle_alpha 90.00
_cell_angle_beta 90.00
_cell_angle_gamma 90.00
loop_
_atom_site_label
_atom_site_type_symbol
_atom_site_fract_x
_atom_site_fract_y
_atom_site_fract_z
Li1 Li 0.000 0.000 0.000
Pr1 Pr 0.000 0.500 0.250
Sn1 Sn 0.000 0.500 0.628
Pd1 Pd 0.000 0.000 0.500
```

ΔE_f = -326 kJ/mol of formula units
size of the total moment = 0.00 Bohr magnetons per cell



(4)
Density functional theory data (GGA-PBE) for crystalline SrFeMo at its relaxed geometry.

The structure in CIF format:
```
data_SrFeMo
_space_group_name_H-M_alt 'P 3 m 1'
_space_group_IT_number 156
_cell_length_a 3.9245
_cell_length_b 3.9245
_cell_length_c 5.2192
_cell_angle_alpha 90.00
_cell_angle_beta 90.00
_cell_angle_gamma 120.00
loop_
_space_group_symop_operation_xyz
'x,y,z'
'-y,x-y,z'
'-x+y,-x,z'
'-y,-x,z'
'-x+y,y,z'
'x,x-y,z'
loop_
_atom_site_label
_atom_site_type_symbol
_atom_site_fract_x
_atom_site_fract_y
_atom_site_fract_z
Sr1 Sr 0.0000 0.0000 0.0000
Fe1 Fe 0.6667 0.3333 0.5271
Mo1 Mo 0.3333 0.6667 0.4918
```

ΔE_f = 194 kJ/mol of formula units
size of the total moment = 0.00 Bohr magnetons per cell



(5)
Density functional theory data (GGA-PBE) for crystalline RhSeCl at its relaxed geometry.

The structure in CIF format:
```
data_RhSeCl
_space_group_name_H-M_alt 'C 1 m 1'
_space_group_IT_number 8
_cell_length_a 6.143
_cell_length_b 3.553
_cell_length_c 6.419
_cell_angle_alpha 90.00
_cell_angle_beta 97.28
_cell_angle_gamma 90.00
loop_
_space_group_symop_operation_xyz
'x,y,z'
'x,-y,z'
'x+1/2,y+1/2,z'
'x+1/2,-y+1/2,z'
loop_
_atom_site_label
_atom_site_type_symbol
_atom_site_fract_x
_atom_site_fract_y
_atom_site_fract_z
Rh1 Rh 0.000 0.000 0.000
Se1 Se 0.307 0.000 0.797
Cl1 Cl 0.198 0.500 0.237
```

formation energy without anion corrections = -559 meV/atom
size of the total moment = 0.00 Bohr magnetons per cell



(6)
Density functional theory data (GGA-PBE) for crystalline H2PbN2 at its relaxed geometry.

The structure in CIF format:
```
data_H2PbN2
_space_group_name_H-M_alt 'I 4/m m m'
_space_group_IT_number 139
_space_group_name_Hall '-I 4 2'
_cell_length_a 4.647
_cell_length_b 4.647
_cell_length_c 6.450
_cell_angle_alpha 90.00
_cell_angle_beta 90.00
_cell_angle_gamma 90.00
loop_
_atom_site_label
_atom_site_type_symbol
_atom_site_fract_x
_atom_site_fract_y
_atom_site_fract_z
H1 H 0.000 0.500 0.250
Pb1 Pb 0.000 0.000 0.000
N1 N 0.000 0.000 0.413
```

size of the total moment = 0.00 Bohr magnetons per cell



| no. | VASP energy (eV/cell) | ρ (Mg/m³) |
| --- | --- | --- |
| 1 | -37.7 | 4.0 |
| 2 | -38.5 | 6.4 |
| 3 | -46.5 | 7.1 |
| 4 | -19.0 | 5.7 |
| 5 | -28.7 | 5.2 |
| 6 | -47.6 | 5.7 |